Entry 1:
This record from Alexandria via LeMat-Bulk describes an optimized crystal structure of MgScIn3. The functional is PBE.

Computed properties:
**Volume**: 29.1 Å³/atom
**Space-group type**: Pm-3m, No. 221
**Total magnetization**: 0.000 μB/f.u.
**DFT formation energy**: 0.44 eV per atom
**Distance to the lowest polymorph of the same formula**: 0.0 kJ/mol of formula units
**Crystal system**: cubic

Unit cell a=5.2614 b=5.2614 c=5.2614 alpha=90.00 beta=90.00 gamma=90.00
Fractional positions:
Sc: 0.5000 0.5000 0.5000
Mg: 0.0000 0.0000 0.0000
In: 0.0000 0.5000 0.0000
In: 0.0000 0.0000 0.5000
In: 0.5000 0.0000 0.0000

Entry 2:
This record from Alexandria via LeMat-Bulk describes an optimized crystal structure of MgSc5In. The functional is PBE.

Computed properties:
**Volume**: 24.2 Å³/atom
**Space-group type**: C2/c, No. 15
**Total magnetization**: 0.000 μB/f.u.
**DFT formation energy**: -0.01 eV per atom
**Crystal system**: monoclinic

Unit cell a=7.7719 b=7.7719 c=5.8439 alpha=78.76 beta=78.76 gamma=90.75
Fractional positions:
Mg: 0.0000 0.0000 0.0000
Mg: 0.0000 0.0000 0.5000
Sc: 0.6623 0.8250 0.4094
Sc: 0.0479 0.6559 0.3218
Sc: 0.8250 0.6623 0.9094
Sc: 0.7262 0.2738 0.2500
Sc: 0.3441 0.9521 0.1782
Sc: 0.6559 0.0479 0.8218
Sc: 0.2738 0.7262 0.7500
Sc: 0.1750 0.3377 0.0906
Sc: 0.9521 0.3441 0.6782
Sc: 0.3377 0.1750 0.5906
In: 0.4346 0.5654 0.2500
In: 0.5654 0.4346 0.7500

Entry 3:
This record from Alexandria via LeMat-Bulk describes an optimized crystal structure of Mg2Sc2In. The functional is PBE.

Computed properties:
**Volume**: 23.1 Å³/atom
**Space-group type**: P4/mbm, No. 127
**Total magnetization**: 0.000 μB/f.u.
**DFT formation energy**: -0.05 eV per atom
**Distance to the lowest polymorph of the same formula**: 10.5 kJ/mol of formula units
**Crystal system**: tetragonal

Unit cell a=7.6897 b=7.6897 c=3.9010 alpha=90.00 beta=90.00 gamma=90.00
Fractional positions:
Sc: 0.1622 0.6622 0.5000
Sc: 0.6622 0.8378 0.5000
Sc: 0.8378 0.3378 0.5000
Sc: 0.3378 0.1622 0.5000
Mg: 0.3658 0.8658 0.0000
Mg: 0.8658 0.6342 0.0000
Mg: 0.6342 0.1342 0.0000
Mg: 0.1342 0.3658 0.0000
In: 0.0000 0.0000 0.0000
In: 0.5000 0.5000 0.0000

Entry 4:
This record from Alexandria via LeMat-Bulk describes an optimized crystal structure of Mg2Sc2In. The functional is PBE.

Computed properties:
**Volume**: 24.5 Å³/atom
**Space-group type**: P4/mbm, No. 127
**Total magnetization**: 0.471 μB/f.u.
**DFT formation energy**: 0.08 eV per atom
**Distance to the lowest polymorph of the same formula**: 73.9 kJ/mol of formula units
**Crystal system**: tetragonal

Unit cell a=8.0668 b=8.0668 c=3.7693 alpha=90.00 beta=90.00 gamma=90.00
Each line ends with the local moment (μB).
Fractional positions:
Sc: 0.3570 0.8570 0.0000  0.12
Sc: 0.8570 0.6430 0.0000  0.13
Sc: 0.6430 0.1430 0.0000  0.12
Sc: 0.1430 0.3570 0.0000  0.13
Mg: 0.1549 0.6549 0.5000  0.00
Mg: 0.6549 0.8451 0.5000  0.00
Mg: 0.8451 0.3451 0.5000  0.00
Mg: 0.3451 0.1549 0.5000  0.00
In: 0.0000 0.0000 0.0000  -0.01
In: 0.5000 0.5000 0.0000  -0.01

Entry 5:
This record from Alexandria via LeMat-Bulk describes an optimized crystal structure of MgScIn. The functional is PBE.

Computed properties:
**Volume**: 22.4 Å³/atom
**Space-group type**: P3m1, No. 156
**Total magnetization**: 0.000 μB/f.u.
**DFT formation energy**: -0.28 eV per atom
**Crystal system**: trigonal

Unit cell a=4.9667 b=4.9667 c=6.2856 alpha=90.00 beta=90.00 gamma=120.00
Fractional positions:
Mg: 0.0000 0.0000 0.3882
Mg: 0.6667 0.3333 0.2057
Sc: 0.3333 0.6667 0.0279
Sc: 0.6667 0.3333 0.7060
In: 0.0000 0.0000 0.9010
In: 0.3333 0.6667 0.5178

Entry 6:
This record from Alexandria via LeMat-Bulk describes an optimized crystal structure of MgScIn. The functional is PBE.

Computed properties:
**Volume**: 22.5 Å³/atom
**Space-group type**: Amm2, No. 38
**Total magnetization**: 0.000 μB/f.u.
**DFT formation energy**: -0.26 eV per atom
**Crystal system**: orthorhombic

Unit cell a=4.5551 b=4.3598 c=7.1786 alpha=90.00 beta=108.50 gamma=90.00
Fractional positions:
Sc: 0.4680 0.2980 0.0646
Sc: 0.1445 0.2980 0.4180
Mg: 0.6408 0.7979 0.4098
Mg: 0.8076 0.2978 0.7437
In: 0.3043 0.7979 0.7380
In: 0.9810 0.7980 0.0911

Entry 7:
This record from Alexandria via LeMat-Bulk describes an optimized crystal structure of MgScIn. The functional is PBE.

Computed properties:
**Volume**: 22.5 Å³/atom
**Space-group type**: Cmmm, No. 65
**Total magnetization**: 0.000 μB/f.u.
**DFT formation energy**: -0.28 eV per atom
**Crystal system**: orthorhombic

Unit cell a=4.8622 b=15.2099 c=3.6501 alpha=90.00 beta=90.00 gamma=90.00
Fractional positions:
Mg: 0.0000 0.0000 0.5000
Mg: 0.5000 0.5000 0.5000
Mg: 0.5000 0.0000 0.0000
Mg: 0.0000 0.5000 0.0000
Sc: 0.0000 0.8330 0.0000
Sc: 0.0000 0.1670 0.0000
Sc: 0.5000 0.3330 0.0000
Sc: 0.5000 0.6670 0.0000
In: 0.0000 0.6592 0.5000
In: 0.0000 0.3408 0.5000
In: 0.5000 0.1592 0.5000
In: 0.5000 0.8408 0.5000

Entry 8:
This record from Alexandria via LeMat-Bulk describes an optimized crystal structure of MgScIn. The functional is PBE.

Computed properties:
**Volume**: 23.1 Å³/atom
**Space-group type**: Imm2, No. 44
**Total magnetization**: 0.004 μB/f.u.
**DFT formation energy**: -0.12 eV per atom
**Crystal system**: orthorhombic

Unit cell a=5.5899 b=5.5899 c=5.5899 alpha=147.05 beta=132.56 gamma=58.97
Fractional positions:
In: 0.0002 0.0002 0.0000
Mg: 0.3363 0.3363 0.0000
Sc: 0.6635 0.6635 0.0000

Entry 9:
This record from Alexandria via LeMat-Bulk describes an optimized crystal structure of SmMgScIn. The functional is PBE.

Computed properties:
**Volume**: 25.2 Å³/atom
**Space-group type**: F-43m, No. 216
**Total magnetization**: 0.000 μB/f.u.
**DFT formation energy**: -0.31 eV per atom
**Crystal system**: cubic

Unit cell a=5.2232 b=5.2232 c=5.2232 alpha=60.00 beta=60.00 gamma=60.00
Fractional positions:
Sc: 0.0000 0.0000 0.0000
Mg: 0.7500 0.7500 0.7500
Sm: 0.5000 0.5000 0.5000
In: 0.2500 0.2500 0.2500

Entry 10:
This record from Alexandria via LeMat-Bulk describes an optimized crystal structure of SmMgSc2In4. The functional is PBE.

Computed properties:
**Volume**: 24.3 Å³/atom
**Space-group type**: R-3m, No. 166
**Total magnetization**: 0.000 μB/f.u.
**DFT formation energy**: -0.34 eV per atom
**Crystal system**: trigonal

Unit cell a=5.1018 b=5.1018 c=9.0978 alpha=73.72 beta=73.72 gamma=60.00
Fractional positions:
Sm: 0.0000 0.0000 0.0000
Mg: 0.5000 0.5000 0.5000
Sc: 0.7537 0.7537 0.7389
Sc: 0.2463 0.2463 0.2611
In: 0.3794 0.3794 0.8618
In: 0.8730 0.8730 0.3809
In: 0.1270 0.1270 0.6191
In: 0.6206 0.6206 0.1382

Entry 11:
This record from Alexandria via LeMat-Bulk describes an optimized crystal structure of MgScInSn. The functional is PBE.

Computed properties:
**Volume**: 23.4 Å³/atom
**Space-group type**: F-43m, No. 216
**Total magnetization**: 0.000 μB/f.u.
**DFT formation energy**: -0.20 eV per atom
**Distance to the lowest polymorph of the same formula**: 65.8 kJ/mol of formula units
**Crystal system**: cubic

Unit cell a=5.0946 b=5.0946 c=5.0946 alpha=60.00 beta=60.00 gamma=60.00
Fractional positions:
Sc: 0.0000 0.0000 0.0000
Mg: 0.5000 0.5000 0.5000
Sn: 0.2500 0.2500 0.2500
In: 0.7500 0.7500 0.7500

Entry 12:
This record from Alexandria via LeMat-Bulk describes an optimized crystal structure of MgScInSn. The functional is PBE.

Computed properties:
**Volume**: 22.5 Å³/atom
**Space-group type**: Pmmm, No. 47
**Total magnetization**: 0.000 μB/f.u.
**DFT formation energy**: -0.37 eV per atom
**Distance to the lowest polymorph of the same formula**: 0.0 kJ/mol of formula units
**Crystal system**: orthorhombic

Unit cell a=4.3079 b=4.6393 c=4.5110 alpha=90.00 beta=90.00 gamma=90.00
Fractional positions:
Mg: 0.5000 0.0000 0.5000
Sc: 0.5000 0.5000 0.0000
In: 0.0000 0.0000 0.0000
Sn: 0.0000 0.5000 0.5000

Entry 13:
This record from Alexandria via LeMat-Bulk describes an optimized crystal structure of SrMg2ScIn4. The functional is PBE.

Computed properties:
**Volume**: 26.9 Å³/atom
**Space-group type**: R-3m, No. 166
**Total magnetization**: 0.000 μB/f.u.
**DFT formation energy**: -0.26 eV per atom
**Crystal system**: trigonal

Unit cell a=4.8899 b=4.8899 c=10.7618 alpha=76.87 beta=76.87 gamma=60.00
Fractional positions:
Sr: 0.0000 0.0000 0.0000
Mg: 0.7650 0.7650 0.7049
Mg: 0.2350 0.2350 0.2951
Sc: 0.5000 0.5000 0.5000
In: 0.3980 0.3980 0.8060
In: 0.8732 0.8732 0.3804
In: 0.1268 0.1268 0.6196
In: 0.6020 0.6020 0.1940